DFT (PBE) results for a relaxed TbPm2Mg8 crystal.

Unit cell a=5.2422 b=7.4263 c=8.8395 alpha=114.84 beta=107.25 gamma=90.00
Atoms (fractional coordinates):
Mg: 0.1576 0.1576 0.3153
Mg: 0.3582 0.5667 0.7164
Mg: 0.0000 0.2859 0.0000
Mg: 0.3582 0.1498 0.7164
Mg: 0.0000 0.7141 0.0000
Mg: 0.8424 0.8424 0.6847
Mg: 0.6418 0.4333 0.2836
Mg: 0.6418 0.8502 0.2836
Tb: 0.5000 0.0000 0.0000
Pm: 0.2002 0.7002 0.4004
Pm: 0.7998 0.2998 0.5996

Summary:
For the density of states at the Fermi level, the calculation gives 8.10 states/eV per cell. The calculated density is 3.62 g/cm3. For the uncorrected energy, the calculation gives -26.530 eV per cell. The formation energy from the elements comes out at 0.03 eV/atom.